! CdSbAu | Alexandria | PBEsol | relaxed; values from VASP
! * DOS(E_F): 1.4 states/eV per cell
! * energy relative to the elements, uncorrected: 0.019 eV/atom
! * SG: No. 156
! * magnetic moment: 0.0000 μB/atom
&SYSTEM
  ibrav = 0, nat = 3, ntyp = 3
/
ATOMIC_SPECIES
Au 196.97 Au.upf
Cd 112.41 Cd.upf
Sb 121.76 Sb.upf
CELL_PARAMETERS angstrom
-2.5661 3.3714 0.6477
1.5341 -2.1992 3.3437
3.4916 2.6327 0.1296
ATOMIC_POSITIONS angstrom
Au 0.0357 0.0269 0.0013
Cd 2.6297 1.5142 2.5364
Sb -0.2058 2.2637 1.5833